# 1
# Zr2CuAs2

A geometry-optimized Zr2CuAs2 structure (PBE-GGA, Alexandria).

a = 7.153 Å, b = 7.153 Å, c = 3.618 Å
α = 90.00°, β = 90.00°, γ = 90.00°
Space group P4/mbm (No. 127)
Unique sites:
Zr1 0.152 0.348 0.000 x4
Cu1 0.000 0.000 0.500 x2
As1 0.151 0.651 0.500 x4

Calculated formation energy, eV/atom: -0.687
Total DFT energy (no corrections), eV/f.u.: -33.93

***

# 2
# ZrCu2As

A geometry-optimized ZrCu2As structure (PBE-GGA, Alexandria).

a = 3.848 Å, b = 3.848 Å, c = 8.652 Å
α = 90.00°, β = 90.00°, γ = 90.00°
Space group I4/mmm (No. 139)
Unique sites:
Zr1 0.000 0.000 0.000 x2
Cu1 0.000 0.500 0.250 x4
As1 0.000 0.000 0.500 x2

Calculated formation energy, eV/atom: -0.248
Total DFT energy (no corrections), eV/f.u.: -22.38